# VBRhF2 | Alexandria | PBE+U | optimized geometry
data_VBRhF2
_cell_length_a 4.303
_cell_length_b 4.303
_cell_length_c 3.976
_cell_angle_alpha 90.00
_cell_angle_beta 90.00
_cell_angle_gamma 90.00
_space_group_name_H-M_alt 'P 4/m m m'
_space_group_IT_number 123
_space_group_name_Hall '-P 4 2'
loop_
_atom_site_label
_atom_site_type_symbol
_atom_site_fract_x
_atom_site_fract_y
_atom_site_fract_z
_atom_site_occupancy
V1 V 0.000 0.000 0.000 1
B1 B 0.500 0.500 0.000 1
Rh1 Rh 0.500 0.500 0.500 1
F1 F 0.000 0.500 0.500 1
# volume	14.723	Å³/atom
# raw total energy	-24.3	eV/cell